Here is a geometry-optimized Ti2TeS6 structure from Alexandria via LeMat-Bulk. Energies are from PBE.

Spin magnetization   0.00 μB per formula unit
Space-group type   C2/m, No. 12
Formation energy from raw total energies   -0.81 eV per atom

Cell: 3.549 8.010 8.569 Å, 109.99 101.95 90.00°
Element x y z (fractional)
1 Ti 0.826 0.657 0.653
2 Ti 0.174 0.343 0.347
3 Te 0.500 0.000 0.000
4 S 0.333 0.876 0.667
5 S 0.016 0.251 0.032
6 S 0.674 0.557 0.349
7 S 0.984 0.749 0.968
8 S 0.667 0.124 0.333
9 S 0.326 0.443 0.651